Record 1
## Co3CuSi (GGA-PBE)

Data for a relaxed Co3CuSi crystal.

Unit cell a=4.156 b=4.156 c=4.156 alpha=90.00 beta=90.00 gamma=90.00
Fractional positions:
Co1 0.000 0.000 0.500
Co2 0.000 0.500 0.000
Co3 0.500 0.000 0.000
Cu1 0.500 0.500 0.500
Si1 0.000 0.000 0.000

Properties
- Theoretical density: 6.21 g cm⁻³
- E_tot: -27.25 eV for the cell shown
- Raw formation energy: 0.72 eV/atom
- Energy above the most stable polymorph in this dataset: 0.0 meV/atom

=====

Record 2
## In2PPb2 (GGA-PBE)

Data for a relaxed In2PPb2 crystal.

Unit cell a=7.065 b=7.065 c=5.561 alpha=90.00 beta=90.00 gamma=90.00
Fractional positions:
In1 0.148 0.352 0.000
In2 0.352 0.852 0.000
In3 0.648 0.148 0.000
In4 0.852 0.648 0.000
P1 0.000 0.000 0.000
P2 0.500 0.500 0.000
Pb1 0.180 0.680 0.500
Pb2 0.320 0.180 0.500
Pb3 0.680 0.820 0.500
Pb4 0.820 0.320 0.500

Properties
- Theoretical density: 8.08 g cm⁻³
- E_tot: -34.63 eV for the cell shown
- Energy above the most stable polymorph in this dataset: 0.0 meV/atom
- Calculated formation energy: 0.99 eV per formula unit

=====

Record 3
## Er5Zn4Pb (GGA-PBE)

Data for a relaxed Er5Zn4Pb crystal.

Unit cell a=3.567 b=3.567 c=18.230 alpha=90.00 beta=90.00 gamma=90.00
Fractional positions:
Er1 0.000 0.000 0.000
Er2 0.000 0.000 0.191
Er3 0.000 0.000 0.381
Er4 0.000 0.000 0.619
Er5 0.000 0.000 0.809
Zn1 0.500 0.500 0.097
Zn2 0.500 0.500 0.284
Zn3 0.500 0.500 0.716
Zn4 0.500 0.500 0.903
Pb1 0.500 0.500 0.500

Properties
- Theoretical density: 9.35 g cm⁻³
- E_tot: -35.23 eV for the cell shown
- Calculated formation energy: -3.61 eV per formula unit

=====

Repeat the second record exactly.
## In2PPb2 (GGA-PBE)

Data for a relaxed In2PPb2 crystal.

Unit cell a=7.065 b=7.065 c=5.561 alpha=90.00 beta=90.00 gamma=90.00
Fractional positions:
In1 0.148 0.352 0.000
In2 0.352 0.852 0.000
In3 0.648 0.148 0.000
In4 0.852 0.648 0.000
P1 0.000 0.000 0.000
P2 0.500 0.500 0.000
Pb1 0.180 0.680 0.500
Pb2 0.320 0.180 0.500
Pb3 0.680 0.820 0.500
Pb4 0.820 0.320 0.500

Properties
- Theoretical density: 8.08 g cm⁻³
- E_tot: -34.63 eV for the cell shown
- Energy above the most stable polymorph in this dataset: 0.0 meV/atom
- Calculated formation energy: 0.99 eV per formula unit

=====

Q: The lowest E_tot belongs to which entry?
A: Er5Zn4Pb